An optimized crystal structure of BaHgPb2, computed with GGA-PBE.

```
BaHgPb2
1.0
5.1450 0.0000 0.0000
0.0000 5.1450 0.0000
0.0000 0.0000 22.4992
Ba Hg Pb
4 4 8
direct
0.0000 0.0000 0.0000
0.0000 0.5000 0.2500
0.5000 0.0000 0.7500
0.5000 0.5000 0.5000
0.0000 0.0000 0.5000
0.0000 0.5000 0.7500
0.5000 0.0000 0.2500
0.5000 0.5000 0.0000
0.1814 0.2500 0.6250
0.2500 0.6814 0.8750
0.2500 0.8186 0.3750
0.3186 0.2500 0.1250
0.6814 0.7500 0.1250
0.7500 0.1814 0.3750
0.7500 0.3186 0.8750
0.8186 0.7500 0.6250
```

Results
As for the symmetry: I-42d (122). As for the spin magnetization: 0.0 μB per formula unit. For the relative energy among the computed polymorphs, the calculation gives 0.1739 eV/atom. The formation energy comes out at -206.6 meV per atom.